## CsNbAg2 (PBE)

Data for an optimized crystal structure of CsNbAg2.

Values from the calculation:
- Fermi-level density of states: 0.912 states/eV per atom
- Energy: -2.932 eV/atom
- ΔE_f: 118.10 kJ/mol of atoms

Cell: 5.243 5.243 5.243 Å, 60.00 60.00 60.00°
Atoms (fractional coordinates):
Nb: 0.000 0.000 0.000
Cs: 0.500 0.500 0.500
Ag: 0.750 0.750 0.750
Ag: 0.250 0.250 0.250


## KTeI5 (PBE)

Data for an optimized crystal structure of KTeI5.

Values from the calculation:
- E_form (uncorrected): -0.42 eV per atom
- ΔE to the lowest computed polymorph: 20 meV/atom
- Energy: -2.134 eV/atom

Cell: 6.978 8.435 8.435 Å, 67.96 65.57 65.57°
Atoms (fractional coordinates):
I: 0.385 0.724 0.724
I: 0.046 0.500 0.500
I: 0.450 0.181 0.819
I: 0.450 0.819 0.181
I: 0.832 0.276 0.276
Te: 0.446 0.500 0.500
K: 0.921 0.000 0.000